{
  "formula": "Sm2Dy2CBrCl4",
  "functional": "PBE",
  "state": "optimized geometry",
  "total_energy_ev_per_cell": -53.4,
  "lattice": [[8.6281, -1.8903, 0.0000], [8.6281, 1.8903, 0.0000], [-2.0534, 0.0000, 7.8037]],
  "species": ["Br", "Sm", "Sm", "C", "Cl", "Cl", "Cl", "Cl", "Dy", "Dy"],
  "frac_coords": [[0.5000, 0.5000, 0.5000], [0.6474, 0.6474, 0.0849], [0.3526, 0.3526, 0.9151], [0.5000, 0.5000, 0.0000], [0.1680, 0.1680, 0.8384], [0.8320, 0.8320, 0.1616], [0.1617, 0.1617, 0.3423], [0.8383, 0.8383, 0.6577], [0.9992, 0.9992, 0.2026], [0.0008, 0.0008, 0.7974]]
}


{
  "formula": "DyMgGa4Pt2",
  "functional": "PBE",
  "state": "optimized geometry",
  "total_energy_ev_per_cell": -36.4,
  "lattice": [[6.8752, 0.0000, 0.0000], [0.0000, 2.1321, 4.9399], [0.0000, -2.1321, 4.9399]],
  "species": ["Pt", "Pt", "Ga", "Ga", "Ga", "Ga", "Mg", "Dy"],
  "frac_coords": [[0.5000, 0.2035, 0.2035], [0.0000, 0.7916, 0.7916], [0.6954, 0.6345, 0.6345], [0.2052, 0.3682, 0.3682], [0.7948, 0.3682, 0.3682], [0.3046, 0.6345, 0.6345], [0.5000, 0.9218, 0.9218], [0.0000, 0.0777, 0.0777]]
}


{
  "formula": "Tm2Ta2O7",
  "functional": "PBE",
  "state": "optimized geometry",
  "total_energy_ev_per_cell": -203.2,
  "lattice": [[5.0599, -5.0433, 0.0000], [5.0599, 5.0433, 0.0000], [-4.9954, 0.0000, 5.1150]],
  "species": ["Ta", "Ta", "Ta", "Ta", "O", "O", "O", "O", "O", "O", "O", "O", "O", "O", "O", "O", "O", "O", "Tm", "Tm", "Tm", "Tm"],
  "frac_coords": [[0.0095, 0.5486, 0.5257], [0.0002, 0.9880, 0.5038], [0.9880, 0.0002, 0.0038], [0.5486, 0.0095, 0.0257], [0.3547, 0.6734, 0.7674], [0.3611, 0.6090, 0.2311], [0.0959, 0.3466, 0.2729], [0.9258, 0.1230, 0.7796], [0.9073, 0.6534, 0.7719], [0.6534, 0.9073, 0.2719], [0.6090, 0.3611, 0.7311], [0.3466, 0.0959, 0.7729], [0.1230, 0.9258, 0.2796], [0.8935, 0.6411, 0.2710], [0.6411, 0.8935, 0.7710], [0.3387, 0.0896, 0.1660], [0.0896, 0.3387, 0.6660], [0.6734, 0.3547, 0.2674], [0.4811, 0.4780, 0.4752], [0.4780, 0.4811, 0.9752], [0.9916, 0.4897, 0.9855], [0.4897, 0.9916, 0.4855]]
}


{
  "formula": "PmBiSb",
  "functional": "PBE",
  "state": "optimized geometry",
  "polymorph_energy_ev_per_fu": 0.00,
  "lattice": [[-2.8176, -3.6496, 2.5367], [-5.2577, 0.1474, -0.1692], [-2.6481, -3.6422, -2.7230]],
  "species": ["Pm", "Sb", "Bi"],
  "frac_coords": [[0.7500, 0.7500, 0.7500], [0.0000, 0.0000, 0.0000], [0.2500, 0.2500, 0.2500]]
}